# InAg2As2 (GGA-PBE, relaxed)
data_InAg2As2
_chemical_formula_sum 'In2 Ag4 As4'
_cell_length_a 4.0091
_cell_length_b 4.0091
_cell_length_c 13.5160
_cell_angle_alpha 90.00
_cell_angle_beta 90.00
_cell_angle_gamma 90.00
_symmetry_space_group_name_H-M 'I 4/m m m'
_symmetry_Int_Tables_number 139
_symmetry_space_group_name_Hall '-I 4 2'
loop_
_atom_site_label
_atom_site_type_symbol
_atom_site_fract_x
_atom_site_fract_y
_atom_site_fract_z
In1 In 0.0000 0.0000 0.0000
Ag1 Ag 0.0000 0.0000 0.3987
As1 As 0.0000 0.5000 0.2500
# V: 21.7 Å³ per atom
# energy relative to the lowest polymorph listed for this composition: 84 meV per atom
# M_tot: 0.00 μB per atom